[1]
# K2LiTl, optimized geometry, DFT PBE
data_K2LiTl
_chemical_formula_sum 'K4 Li2 Tl2'
_cell_length_a 13.3229
_cell_length_b 4.5077
_cell_length_c 6.0183
_cell_angle_alpha 90.00
_cell_angle_beta 116.79
_cell_angle_gamma 90.00
_symmetry_space_group_name_H-M 'C 1 m 1'
_symmetry_Int_Tables_number 8
loop_
_symmetry_equiv_pos_as_xyz
'x,y,z'
'x,-y,z'
'x+1/2,y+1/2,z'
'x+1/2,-y+1/2,z'
loop_
_atom_site_label
_atom_site_fract_x
_atom_site_fract_y
_atom_site_fract_z
K1 0.0000 0.0000 0.0000
K2 0.2038 0.0000 0.7031
Li1 0.4162 0.0000 0.4167
Tl1 0.2639 0.5000 0.2626
# * density: 3.0 g/cm3
# * ΔE_f: 2 meV/atom
# * calculated volume: 323 Å³/cell
# * electronic total energy: -1.617 eV per atom

***

[2]
# KLi2Tl9, optimized geometry, DFT PBE
data_KLi2Tl9
_chemical_formula_sum 'K1 Li2 Tl9'
_cell_length_a 9.9103
_cell_length_b 9.9103
_cell_length_c 4.2416
_cell_angle_alpha 90.00
_cell_angle_beta 90.00
_cell_angle_gamma 120.00
_symmetry_space_group_name_H-M 'P 6/m m m'
_symmetry_Int_Tables_number 191
_symmetry_space_group_name_Hall '-P 6 2'
loop_
_atom_site_label
_atom_site_fract_x
_atom_site_fract_y
_atom_site_fract_z
K1 0.0000 0.0000 0.0000
Li1 0.3333 0.6667 0.0000
Tl1 0.0000 0.5000 0.0000
Tl2 0.2001 0.4002 0.5000
# * density: 8.7 g/cm3
# * ΔE_f: -67 meV/atom
# * calculated volume: 361 Å³/cell
# * electronic total energy: -2.252 eV per atom

***

[3]
# KLiTl, optimized geometry, DFT PBE
data_KLiTl
_chemical_formula_sum 'K4 Li4 Tl4'
_cell_length_a 7.5782
_cell_length_b 7.5782
_cell_length_c 7.5782
_cell_angle_alpha 90.00
_cell_angle_beta 90.00
_cell_angle_gamma 90.00
_symmetry_space_group_name_H-M 'F -4 3 m'
_symmetry_Int_Tables_number 216
_symmetry_space_group_name_Hall 'F -4 2 3'
loop_
_atom_site_label
_atom_site_fract_x
_atom_site_fract_y
_atom_site_fract_z
K1 0.0000 0.0000 0.0000
Li1 0.2500 0.2500 0.2500
Tl1 0.0000 0.0000 0.5000
# * density: 3.8 g/cm3
# * ΔE_f: 140 meV/atom
# * calculated volume: 435 Å³/cell
# * electronic total energy: -1.653 eV per atom

***

[4]
# K2LiTl, optimized geometry, DFT PBE
data_K2LiTl
_chemical_formula_sum 'K2 Li1 Tl1'
_cell_length_a 5.1779
_cell_length_b 4.8773
_cell_length_c 7.2770
_cell_angle_alpha 90.00
_cell_angle_beta 110.79
_cell_angle_gamma 90.00
_symmetry_space_group_name_H-M 'P 1 m 1'
_symmetry_Int_Tables_number 6
loop_
_symmetry_equiv_pos_as_xyz
'x,y,z'
'x,-y,z'
loop_
_atom_site_label
_atom_site_fract_x
_atom_site_fract_y
_atom_site_fract_z
K1 0.0000 0.0000 0.0000
K2 0.3014 0.5000 0.6039
Li1 0.6978 0.0000 0.3969
Tl1 0.5901 0.5000 0.1806
# * density: 2.8 g/cm3
# * ΔE_f: 5 meV/atom
# * calculated volume: 172 Å³/cell
# * electronic total energy: -1.613 eV per atom

***

[5]
# K2LiTl, optimized geometry, DFT PBE
data_K2LiTl
_chemical_formula_sum 'K2 Li1 Tl1'
_cell_length_a 4.0236
_cell_length_b 4.0236
_cell_length_c 10.1102
_cell_angle_alpha 90.00
_cell_angle_beta 90.00
_cell_angle_gamma 90.00
_symmetry_space_group_name_H-M 'P 4 m m'
_symmetry_Int_Tables_number 99
loop_
_symmetry_equiv_pos_as_xyz
'x,y,z'
'-y,x,z'
'-x,-y,z'
'y,-x,z'
'-x,y,z'
'y,x,z'
'x,-y,z'
'-y,-x,z'
loop_
_atom_site_label
_atom_site_fract_x
_atom_site_fract_y
_atom_site_fract_z
K1 0.0000 0.0000 0.0000
K2 0.5000 0.5000 0.3874
Li1 0.0000 0.0000 0.6551
Tl1 0.5000 0.5000 0.7521
# * density: 2.9 g/cm3
# * ΔE_f: -46 meV/atom
# * calculated volume: 164 Å³/cell
# * electronic total energy: -1.664 eV per atom

***

[6]
# KLiTl, optimized geometry, DFT PBE
data_KLiTl
_chemical_formula_sum 'K4 Li4 Tl4'
_cell_length_a 6.5207
_cell_length_b 6.5328
_cell_length_c 8.9776
_cell_angle_alpha 90.00
_cell_angle_beta 90.00
_cell_angle_gamma 90.00
_symmetry_space_group_name_H-M 'I m m a'
_symmetry_Int_Tables_number 74
_symmetry_space_group_name_Hall '-I 2b 2'
loop_
_atom_site_label
_atom_site_fract_x
_atom_site_fract_y
_atom_site_fract_z
K1 0.0000 0.2500 0.1229
Li1 0.0000 0.0000 0.5000
Tl1 0.2500 0.2500 0.7500
# * density: 4.3 g/cm3
# * ΔE_f: -73 meV/atom
# * calculated volume: 382 Å³/cell
# * electronic total energy: -1.865 eV per atom

***

[7]
# KLi4Tl5, optimized geometry, DFT PBE
data_KLi4Tl5
_chemical_formula_sum 'K1 Li4 Tl5'
_cell_length_a 3.5543
_cell_length_b 3.5543
_cell_length_c 18.9740
_cell_angle_alpha 90.00
_cell_angle_beta 90.00
_cell_angle_gamma 90.00
_symmetry_space_group_name_H-M 'P 4/m m m'
_symmetry_Int_Tables_number 123
_symmetry_space_group_name_Hall '-P 4 2'
loop_
_atom_site_label
_atom_site_fract_x
_atom_site_fract_y
_atom_site_fract_z
K1 0.0000 0.0000 0.0000
Li1 0.0000 0.0000 0.2339
Li2 0.0000 0.0000 0.4106
Tl1 0.5000 0.5000 0.1426
Tl2 0.5000 0.5000 0.3213
Tl3 0.5000 0.5000 0.5000
# * density: 7.5 g/cm3
# * ΔE_f: -181 meV/atom
# * calculated volume: 240 Å³/cell
# * electronic total energy: -2.239 eV per atom

***

[8]
# K2LiTl, optimized geometry, DFT PBE
data_K2LiTl
_chemical_formula_sum 'K8 Li4 Tl4'
_cell_length_a 8.7228
_cell_length_b 8.7228
_cell_length_c 8.7228
_cell_angle_alpha 90.00
_cell_angle_beta 90.00
_cell_angle_gamma 90.00
_symmetry_space_group_name_H-M 'F m -3 m'
_symmetry_Int_Tables_number 225
_symmetry_space_group_name_Hall '-F 4 2 3'
loop_
_atom_site_label
_atom_site_fract_x
_atom_site_fract_y
_atom_site_fract_z
K1 0.2500 0.2500 0.2500
Li1 0.0000 0.0000 0.0000
Tl1 0.0000 0.0000 0.5000
# * density: 2.9 g/cm3
# * ΔE_f: 86 meV/atom
# * calculated volume: 664 Å³/cell
# * electronic total energy: -1.533 eV per atom

***

[9]
# K3Li3Tl8, optimized geometry, DFT PBE
data_K3Li3Tl8
_chemical_formula_sum 'K6 Li6 Tl16'
_cell_length_a 5.0958
_cell_length_b 11.6358
_cell_length_c 14.7536
_cell_angle_alpha 90.00
_cell_angle_beta 90.00
_cell_angle_gamma 90.00
_symmetry_space_group_name_H-M 'I m m m'
_symmetry_Int_Tables_number 71
_symmetry_space_group_name_Hall '-I 2 2'
loop_
_atom_site_label
_atom_site_fract_x
_atom_site_fract_y
_atom_site_fract_z
K1 0.0000 0.0000 0.0000
K2 0.0000 0.0000 0.3038
Li1 0.0000 0.2169 0.5000
Li2 0.0000 0.5000 0.0000
Tl1 0.0000 0.2919 0.1114
Tl2 0.0000 0.3496 0.3227
# * density: 6.7 g/cm3
# * ΔE_f: -110 meV/atom
# * calculated volume: 875 Å³/cell
# * electronic total energy: -2.107 eV per atom

***

[10]
# K2LiTl, optimized geometry, DFT PBE
data_K2LiTl
_chemical_formula_sum 'K2 Li1 Tl1'
_cell_length_a 5.6394
_cell_length_b 5.6394
_cell_length_c 5.0961
_cell_angle_alpha 90.00
_cell_angle_beta 90.00
_cell_angle_gamma 90.00
_symmetry_space_group_name_H-M 'P 4/m m m'
_symmetry_Int_Tables_number 123
_symmetry_space_group_name_Hall '-P 4 2'
loop_
_atom_site_label
_atom_site_fract_x
_atom_site_fract_y
_atom_site_fract_z
K1 0.0000 0.5000 0.0000
Li1 0.0000 0.0000 0.5000
Tl1 0.5000 0.5000 0.5000
# * density: 3.0 g/cm3
# * ΔE_f: 70 meV/atom
# * calculated volume: 162 Å³/cell
# * electronic total energy: -1.549 eV per atom

***

[11]
# K2LiTl, optimized geometry, DFT PBE
data_K2LiTl
_chemical_formula_sum 'K4 Li2 Tl2'
_cell_length_a 12.4782
_cell_length_b 5.2582
_cell_length_c 5.3510
_cell_angle_alpha 90.00
_cell_angle_beta 115.27
_cell_angle_gamma 90.00
_symmetry_space_group_name_H-M 'C 1 2/m 1'
_symmetry_Int_Tables_number 12
loop_
_symmetry_equiv_pos_as_xyz
'x,y,z'
'-x,-y,-z'
'-x,y,-z'
'x,-y,z'
'x+1/2,y+1/2,z'
'-x+1/2,-y+1/2,-z'
'-x+1/2,y+1/2,-z'
'x+1/2,-y+1/2,z'
loop_
_atom_site_label
_atom_site_fract_x
_atom_site_fract_y
_atom_site_fract_z
K1 0.2504 0.0000 0.2505
Li1 0.0000 0.0000 0.5000
Tl1 0.0000 0.5000 0.0000
# * density: 3.0 g/cm3
# * ΔE_f: 82 meV/atom
# * calculated volume: 318 Å³/cell
# * electronic total energy: -1.536 eV per atom